[1]
Here is an optimized crystal structure of Ta2TcAs from Alexandria. Energies are from PBE.

Geometry as extended XYZ:
```
4
Lattice="3.377 0.000 0.000 0.000 4.595 0.000 0.000 0.000 4.238" Properties=species:S:1:pos:R:3 pbc="T T T"
As 0.000 2.298 2.119
Tc 1.689 0.000 2.119
Ta 0.000 0.000 0.000
Ta 1.689 2.298 0.000
```

Values from the calculation:
Energy   -9.779 eV per atom
Crystal system   orthorhombic

=====

[2]
Here is an optimized crystal structure of La2YTeBr from Alexandria. Energies are from PBE.

Geometry as extended XYZ:
```
5
Lattice="6.049 0.000 0.000 0.000 5.575 0.000 0.000 0.000 6.049" Properties=species:S:1:pos:R:3 pbc="T T T"
Y 0.000 0.000 0.000
Te 0.000 2.788 0.000
Br 3.024 2.788 3.024
La 0.000 0.000 3.024
La 3.024 0.000 0.000
```

Values from the calculation:
Energy relative to the elements, uncorrected   -150 meV/atom
Crystal system   tetragonal

=====

[3]
Here is an optimized crystal structure of Pm8Y2Tm from Alexandria. Energies are from PBE.

Geometry as extended XYZ:
```
11
Lattice="5.587 1.746 3.478 2.927 9.412 7.311 2.058 4.032 11.407" Properties=species:S:1:pos:R:3 pbc="T T T"
Pm 5.084 7.348 13.394
Pm 5.080 5.317 10.724
Pm 5.058 11.156 15.729
Pm 5.514 4.033 6.467
Pm 5.492 9.872 11.472
Pm 5.488 7.841 8.802
Pm 7.937 9.535 14.209
Pm 2.635 5.654 7.987
Y 8.210 11.585 16.960
Y 2.362 3.604 5.236
Tm 0.000 0.000 0.000
```

Values from the calculation:
Energy   -4.873 eV per atom
Crystal system   monoclinic

=====

[4]
Here is an optimized crystal structure of KTl2TcCl8 from Alexandria. Energies are from PBE.

Geometry as extended XYZ:
```
12
Lattice="6.020 -1.540 -0.001 -1.625 7.629 -0.005 -0.002 0.018 8.927" Properties=species:S:1:pos:R:3 pbc="T T T"
K -0.001 0.009 4.464
Tl 2.205 3.052 6.667
Tl 2.188 3.054 2.254
Tc 0.000 0.000 0.000
Cl -1.112 6.031 1.669
Cl 2.187 5.335 8.915
Cl 5.495 0.061 1.667
Cl 5.505 0.076 7.252
Cl 2.206 0.772 0.007
Cl -1.102 6.046 7.254
Cl 1.525 4.779 4.464
Cl 2.868 1.328 4.457
```

Values from the calculation:
Energy relative to the elements, uncorrected   -976 meV/atom
Crystal system   triclinic

=====

Number 1: M_tot 0.00 μB/atom. Number 2: M_tot 0.00 μB/atom. Number 3: M_tot 0.00 μB/atom. Number 4: M_tot 0.17 μB/atom.